(1)
Li5AcTl6 | GGA-PBE | optimized geometry

final energy	-0.1872	Ry per atom
energy of formation	-0.224	eV per atom

a b c (Å): 4.995 7.918 7.787
angles (deg): 90.00 90.00 71.61
Atoms (fractional coordinates):
Ac1 0.000 0.000 0.000
Tl1 0.825 0.349 0.274
Tl2 0.825 0.349 0.726
Tl3 0.500 0.000 0.709
Tl4 0.500 0.000 0.291
Tl5 0.175 0.651 0.274
Tl6 0.175 0.651 0.726
Li1 0.667 0.665 0.500
Li2 0.317 0.367 0.000
Li3 0.000 0.000 0.500
Li4 0.683 0.633 0.000
Li5 0.333 0.335 0.500

=====

(2)
LiAc2Tl5 | GGA-PBE | optimized geometry

final energy	-0.2205	Ry per atom
energy of formation	-0.255	eV per atom
polymorph energy (0 for the lowest one)	0.000	eV per atom

a b c (Å): 7.000 7.000 7.000
angles (deg): 91.69 119.03 119.03
Atoms (fractional coordinates):
Li1 0.000 0.818 0.818
Ac1 0.500 0.274 0.774
Ac2 0.500 0.774 0.274
Tl1 0.481 0.764 0.764
Tl2 0.000 0.764 0.283
Tl3 0.000 0.283 0.764
Tl4 0.519 0.283 0.283
Tl5 0.000 0.262 0.262

=====

(3)
Li2Ac4Tl5 | GGA-PBE | optimized geometry

final energy	-0.2347	Ry per atom
energy of formation	-0.276	eV per atom

a b c (Å): 3.900 8.817 10.292
angles (deg): 91.45 90.00 90.00
Atoms (fractional coordinates):
Li1 0.000 0.957 0.623
Li2 0.000 0.043 0.377
Ac1 0.500 0.619 0.706
Ac2 0.500 0.207 0.840
Ac3 0.500 0.381 0.294
Ac4 0.500 0.793 0.160
Tl1 0.000 0.705 0.435
Tl2 0.000 0.123 0.117
Tl3 0.000 0.500 0.000
Tl4 0.000 0.877 0.883
Tl5 0.000 0.295 0.565

=====

(4)
Li5Ac2Tl3 | GGA-PBE | optimized geometry

final energy	-0.1995	Ry per atom
energy of formation	-0.226	eV per atom
polymorph energy (0 for the lowest one)	0.000	eV per atom

a b c (Å): 5.082 7.476 13.803
angles (deg): 90.00 100.61 90.00
Atoms (fractional coordinates):
Li1 0.386 0.489 0.772
Li2 0.278 0.490 0.557
Li3 0.722 0.990 0.443
Li4 0.127 0.265 0.253
Li5 0.304 0.864 0.608
Li6 0.947 0.062 0.894
Li7 0.696 0.364 0.392
Li8 0.873 0.765 0.747
Li9 0.053 0.562 0.106
Li10 0.614 0.989 0.228
Ac1 0.488 0.767 0.976
Ac2 0.176 0.730 0.352
Ac3 0.824 0.230 0.648
Ac4 0.512 0.267 0.024
Tl1 0.772 0.665 0.544
Tl2 0.606 0.565 0.212
Tl3 0.058 0.968 0.115
Tl4 0.228 0.165 0.456
Tl5 0.942 0.468 0.885
Tl6 0.394 0.065 0.788

=====

What did the third record say?
Li2Ac4Tl5 | GGA-PBE | optimized geometry

final energy	-0.2347	Ry per atom
energy of formation	-0.276	eV per atom

a b c (Å): 3.900 8.817 10.292
angles (deg): 91.45 90.00 90.00
Atoms (fractional coordinates):
Li1 0.000 0.957 0.623
Li2 0.000 0.043 0.377
Ac1 0.500 0.619 0.706
Ac2 0.500 0.207 0.840
Ac3 0.500 0.381 0.294
Ac4 0.500 0.793 0.160
Tl1 0.000 0.705 0.435
Tl2 0.000 0.123 0.117
Tl3 0.000 0.500 0.000
Tl4 0.000 0.877 0.883
Tl5 0.000 0.295 0.565

=====

The highest energy of formation belongs to which entry? Li5AcTl6